Entry 1:
VASP calculation (PBE) on Mn2InFe after structural relaxation.

Cell and atoms, written as POSCAR:
```
Mn2InFe
1.0
1.412 0.815 8.350
-1.412 0.815 8.350
0.000 -1.630 8.350
Mn In Fe
2 1 1
Cartesian
0.000 0.000 0.000 Mn
0.000 0.000 6.475 Mn
0.000 0.000 12.428 In
0.000 0.000 18.489 Fe
```

Output
- raw total energy (eV/atom) = -6.90
- total magnetic moment (μB/f.u.) = 5.6
- energy relative to the elements (eV per atom) = 0.481

---

Entry 2:
VASP calculation (PBE) on YPOs2 after structural relaxation.

Cell and atoms, written as POSCAR:
```
YPOs2
1.0
0.000 3.229 3.229
3.229 0.000 3.229
3.229 3.229 0.000
Y P Os
1 1 2
Cartesian
0.000 0.000 0.000 Y
1.615 1.615 1.615 P
3.229 3.229 3.229 Os
4.844 4.844 4.844 Os
```

Output
- raw total energy (eV/atom) = -8.15
- total magnetic moment (μB/f.u.) = 0.0
- energy relative to the elements (eV per atom) = 0.432

---

Entry 3:
VASP calculation (PBE) on AcHo2Re after structural relaxation.

Cell and atoms, written as POSCAR:
```
AcHo2Re
1.0
1.694 0.978 11.527
-1.694 0.978 11.527
0.000 -1.956 11.527
Ac Ho Re
1 2 1
Cartesian
0.000 0.000 0.000 Ac
0.000 0.000 14.685 Ho
0.000 0.000 19.897 Ho
0.000 0.000 17.291 Re
```

Output
- raw total energy (eV/atom) = -5.48
- total magnetic moment (μB/f.u.) = 0.1
- energy relative to the elements (eV per atom) = 0.948

---

Entry 4:
VASP calculation (PBE) on KZn2CuHg after structural relaxation.

Cell and atoms, written as POSCAR:
```
KZn2CuHg
1.0
4.848 0.000 0.000
0.000 4.848 0.000
0.000 0.000 5.222
K Zn Cu Hg
1 2 1 1
Cartesian
0.000 0.000 0.000 K
0.000 2.424 2.611 Zn
2.424 0.000 2.611 Zn
2.424 2.424 2.611 Cu
2.424 2.424 0.000 Hg
```

Output
- raw total energy (eV/atom) = -1.56
- total magnetic moment (μB/f.u.) = 0.0
- energy relative to the elements (eV per atom) = 0.053

---

Entry 5:
VASP calculation (PBE) on TaSe after structural relaxation.

Cell and atoms, written as POSCAR:
```
TaSe
1.0
4.546 0.000 0.000
0.000 3.214 0.000
0.000 0.000 4.635
Ta Se
2 2
Cartesian
1.137 0.000 1.021 Ta
3.410 0.000 3.614 Ta
1.137 1.607 3.434 Se
3.410 1.607 1.201 Se
```

Output
- raw total energy (eV/atom) = -7.79
- total magnetic moment (μB/f.u.) = 0.0

---

Entry 6:
VASP calculation (PBE) on Pu8Ga3Ge after structural relaxation.

Cell and atoms, written as POSCAR:
```
Pu8Ga3Ge
1.0
5.355 -4.618 0.000
5.355 4.618 0.000
-3.684 0.000 5.615
Pu Ga Ge
8 3 1
Cartesian
0.000 0.000 0.000 Pu
-1.410 0.000 3.433 Pu
5.365 2.436 1.422 Pu
3.803 1.727 3.533 Pu
5.390 0.000 0.005 Pu
3.803 -1.727 3.533 Pu
7.927 0.000 0.631 Pu
5.365 -2.436 1.422 Pu
2.719 1.412 0.586 Ga
1.528 0.000 2.621 Ga
2.719 -1.412 0.586 Ga
6.156 0.000 2.923 Ge
```

Output
- raw total energy (eV/atom) = -10.69
- total magnetic moment (μB/f.u.) = 11.4
- energy relative to the elements (eV per atom) = 0.004